Record 1
{
  "formula": "CsNa5",
  "functional": "PBE",
  "state": "optimized geometry",
  "lattice": [[-3.705, -1.933, -0.118], [2.170, -3.848, -5.090], [2.233, -4.833, 9.068]],
  "species": ["Cs", "Na", "Na", "Na", "Na", "Na"],
  "fractional_positions": [[0.000, 0.000, 0.000], [0.000, 0.654, 0.309], [0.000, 0.346, 0.691], [0.500, 0.500, 0.000], [0.500, 0.195, 0.391], [0.500, 0.805, 0.609]],
  "formation_energy_kj_per_mol_atoms": 5.9,
  "magnetic_moment_mub_per_cell": 0.000,
  "polymorph_energy_ev_per_atom": 0.0369,
  "space_group": "Cmmm",
  "n_ef_per_ev_fu": 3.39
}

---

Record 2
{
  "formula": "Cs7Na3",
  "functional": "PBE",
  "state": "optimized geometry",
  "lattice": [[8.978, 0.000, 0.000], [0.000, 13.147, -7.590], [0.000, 0.000, 15.181]],
  "species": ["Cs", "Cs", "Cs", "Cs", "Cs", "Cs", "Cs", "Cs", "Cs", "Cs", "Cs", "Cs", "Cs", "Cs", "Na", "Na", "Na", "Na", "Na", "Na"],
  "fractional_positions": [[0.136, 0.667, 0.333], [0.636, 0.333, 0.667], [0.899, 0.875, 0.750], [0.899, 0.875, 0.125], [0.899, 0.250, 0.125], [0.399, 0.125, 0.250], [0.399, 0.125, 0.875], [0.399, 0.750, 0.875], [0.160, 0.461, 0.922], [0.160, 0.461, 0.539], [0.160, 0.078, 0.539], [0.660, 0.539, 0.078], [0.660, 0.539, 0.461], [0.660, 0.922, 0.461], [0.865, 0.189, 0.378], [0.865, 0.189, 0.811], [0.865, 0.622, 0.811], [0.365, 0.811, 0.622], [0.365, 0.811, 0.189], [0.365, 0.378, 0.189]],
  "formation_energy_kj_per_mol_atoms": 2.0,
  "magnetic_moment_mub_per_cell": 0.001,
  "space_group": "P6_3mc",
  "n_ef_per_ev_fu": 9.85
}

---

Repeat the second record exactly.
{
  "formula": "Cs7Na3",
  "functional": "PBE",
  "state": "optimized geometry",
  "lattice": [[8.978, 0.000, 0.000], [0.000, 13.147, -7.590], [0.000, 0.000, 15.181]],
  "species": ["Cs", "Cs", "Cs", "Cs", "Cs", "Cs", "Cs", "Cs", "Cs", "Cs", "Cs", "Cs", "Cs", "Cs", "Na", "Na", "Na", "Na", "Na", "Na"],
  "fractional_positions": [[0.136, 0.667, 0.333], [0.636, 0.333, 0.667], [0.899, 0.875, 0.750], [0.899, 0.875, 0.125], [0.899, 0.250, 0.125], [0.399, 0.125, 0.250], [0.399, 0.125, 0.875], [0.399, 0.750, 0.875], [0.160, 0.461, 0.922], [0.160, 0.461, 0.539], [0.160, 0.078, 0.539], [0.660, 0.539, 0.078], [0.660, 0.539, 0.461], [0.660, 0.922, 0.461], [0.865, 0.189, 0.378], [0.865, 0.189, 0.811], [0.865, 0.622, 0.811], [0.365, 0.811, 0.622], [0.365, 0.811, 0.189], [0.365, 0.378, 0.189]],
  "formation_energy_kj_per_mol_atoms": 2.0,
  "magnetic_moment_mub_per_cell": 0.001,
  "space_group": "P6_3mc",
  "n_ef_per_ev_fu": 9.85
}